[1]
Density functional theory data (PBE) for a geometry-optimized SrTl2Ge structure.

Structure (CIF):
```
data_SrTl2Ge
_chemical_formula_sum 'Sr1 Tl2 Ge1'
_space_group_name_H-M_alt 'P 4/m m m'
_space_group_IT_number 123
_space_group_name_Hall '-P 4 2'
_cell_length_a 4.7266
_cell_length_b 4.7266
_cell_length_c 5.0497
_cell_angle_alpha 90.00
_cell_angle_beta 90.00
_cell_angle_gamma 90.00
loop_
_atom_site_label
_atom_site_type_symbol
_atom_site_fract_x
_atom_site_fract_y
_atom_site_fract_z
Sr1 Sr 0.0000 0.0000 0.0000
Tl1 Tl 0.0000 0.5000 0.5000
Ge1 Ge 0.5000 0.5000 0.0000
```

Properties
Calculated density (g cm⁻³): 8.38
M_tot (μB per formula unit): 0.0
Relative energy among the computed polymorphs (meV per atom): 0

***

[2]
Density functional theory data (PBE) for a geometry-optimized Sr2Tl3Ge2 structure.

Structure (CIF):
```
data_Sr2Tl3Ge2
_chemical_formula_sum 'Sr4 Tl6 Ge4'
_space_group_name_H-M_alt 'C m m m'
_space_group_IT_number 65
_space_group_name_Hall '-C 2 2'
_cell_length_a 4.0666
_cell_length_b 21.9166
_cell_length_c 4.7100
_cell_angle_alpha 90.00
_cell_angle_beta 90.00
_cell_angle_gamma 90.00
loop_
_atom_site_label
_atom_site_type_symbol
_atom_site_fract_x
_atom_site_fract_y
_atom_site_fract_z
Sr1 Sr 0.0000 0.1678 0.0000
Tl1 Tl 0.0000 0.0000 0.0000
Tl2 Tl 0.0000 0.4252 0.5000
Ge1 Ge 0.0000 0.2854 0.5000
```

Properties
Calculated density (g cm⁻³): 7.39
M_tot (μB per formula unit): 0.0
Relative energy among the computed polymorphs (meV per atom): 0

***

> What is the M_tot in the second record?

0.0 μB per formula unit

***

> Which of these has the highest calculated density?

SrTl2Ge